First-principles (GGA-PBE) data for a geometry-optimized PdRuPt structure, as listed in Alexandria via LeMat-Bulk.

Cell lengths 7.262, 7.262, 5.025 Å; angles 90.00, 90.00, 159.12 degrees
Sites, in units of the cell vectors:
Pd (0.000, 0.000, 0.000)
Pd (0.000, 0.000, 0.500)
Ru (0.166, 0.834, 0.750)
Ru (0.834, 0.166, 0.250)
Pt (0.344, 0.656, 0.750)
Pt (0.656, 0.344, 0.250)

formation energy from the elements	110	kJ/mol of formula units
energy above the most stable polymorph in this dataset	0.318	eV per atom
DFT total energy	-6.456	eV per atom
symmetry	Cmcm (63)
ρ	14156	kg/m³